(1)
Li8SiSe6: relaxed, PBE.

Calculated values
The value obtained for the formation energy (no corrections) is -1067 meV/atom. For the total energy, the calculation gives -3.8428 eV/atom. The calculation puts the density of states at the Fermi level at 0.000 states/eV per atom.

a b c (Å): 7.4671 7.6394 10.6061
angles (deg): 90.00 90.00 90.00
Closest atoms and distances in Å follow each position.
Fractional positions:
Li1 0.0000 0.1240 0.0000  4 Se 2.65-2.74
Li2 0.0000 0.2454 0.4491  3 Se 2.47-2.54
Li3 0.1805 0.6227 0.1169  3 Se 2.56-2.65, 2 Li 2.70
Li4 0.1962 0.5759 0.8086  4 Se 2.54-2.73, 2 Li 2.70-2.78
Li5 0.2308 0.9336 0.7662  4 Se 2.56-2.83, 1 Li 2.78
Li6 0.2692 0.0664 0.2662  4 Se 2.56-2.83, 1 Li 2.78
Li7 0.3038 0.4241 0.3086  4 Se 2.54-2.73, 2 Li 2.70-2.78
Li8 0.3195 0.3773 0.6169  3 Se 2.56-2.65, 2 Li 2.70
Li9 0.5000 0.7546 0.9491  3 Se 2.47-2.54
Li10 0.5000 0.8760 0.5000  4 Se 2.65-2.74
Li11 0.6805 0.3773 0.6169  3 Se 2.56-2.65, 2 Li 2.70
Li12 0.6962 0.4241 0.3086  4 Se 2.54-2.73, 2 Li 2.70-2.78
Li13 0.7308 0.0664 0.2662  4 Se 2.56-2.83, 1 Li 2.78
Li14 0.7692 0.9336 0.7662  4 Se 2.56-2.83, 1 Li 2.78
Li15 0.8038 0.5759 0.8086  4 Se 2.54-2.73, 2 Li 2.70-2.78
Li16 0.8195 0.6227 0.1169  3 Se 2.56-2.65, 2 Li 2.70
Si1 0.0000 0.7508 0.4672  4 Se 2.27-2.33
Si2 0.5000 0.2492 0.9672  4 Se 2.27-2.33
Se1 0.0000 0.2935 0.2176  6 Li 2.48-2.71
Se2 0.0000 0.5056 0.5974  1 Si 2.33, 3 Li 2.54-2.59
Se3 0.0000 0.7745 0.9436  7 Li 2.55-2.83
Se4 0.0000 0.9911 0.5926  1 Si 2.27, 1 Li 2.47
Se5 0.2490 0.2511 0.8445  1 Si 2.28, 1 Li 2.54
Se6 0.2510 0.7489 0.3445  1 Si 2.28, 1 Li 2.54
Se7 0.5000 0.0089 0.0926  1 Si 2.27, 1 Li 2.47
Se8 0.5000 0.2255 0.4436  7 Li 2.55-2.83
Se9 0.5000 0.4944 0.0974  1 Si 2.33, 3 Li 2.54-2.59
Se10 0.5000 0.7065 0.7176  6 Li 2.48-2.71
Se11 0.7490 0.7489 0.3445  1 Si 2.28, 1 Li 2.54
Se12 0.7510 0.2511 0.8445  1 Si 2.28, 1 Li 2.54

(2)
LiTl2SiSe4: relaxed, PBE.

Calculated values
The value obtained for the formation energy (no corrections) is -534 meV/atom. For the total energy, the calculation gives -3.7849 eV/atom. The calculation puts the density of states at the Fermi level at 0.776 states/eV per atom.

a b c (Å): 6.6759 6.6759 7.2468
angles (deg): 122.86 122.86 79.72
Closest atoms and distances in Å follow each position.
Fractional positions:
Li1 0.0000 0.0000 0.0000  4 Se 2.59
Tl1 0.5004 0.4996 0.0000  4 Se 3.00
Tl2 0.7505 0.2495 0.5000  8 Se 3.43-3.62
Si1 0.2501 0.7499 0.5000  4 Se 2.29-2.30
Se1 0.1827 0.3969 0.1235  1 Si 2.30
Se2 0.2734 0.0585 0.4557  1 Si 2.29
Se3 0.6031 0.8173 0.8765  1 Si 2.30
Se4 0.9415 0.7266 0.5443  1 Si 2.29

(3)
Li2YSiSe: relaxed, PBE.

Calculated values
The value obtained for the formation energy (no corrections) is 982 meV/atom. For the total energy, the calculation gives -2.8581 eV/atom. The calculation puts the density of states at the Fermi level at 1.243 states/eV per atom.

a b c (Å): 5.6860 5.6860 5.2124
angles (deg): 90.00 90.00 90.00
Closest atoms and distances in Å follow each position.
Fractional positions:
Li1 0.0000 0.5000 0.0000  2 Y 2.84
Li2 0.5000 0.0000 0.0000  2 Y 2.84
Y1 0.0000 0.0000 0.0000  2 Si 2.61, 4 Li 2.84
Si1 0.0000 0.0000 0.5000  2 Y 2.61
Se1 0.5000 0.5000 0.5000  8 Li 3.86, 4 Si 4.02

(4)
Li2ZnSiSe4: relaxed, PBE.

Calculated values
The value obtained for the formation energy (no corrections) is -842 meV/atom. For the total energy, the calculation gives -3.9003 eV/atom. The calculation puts the density of states at the Fermi level at 0.000 states/eV per atom.

a b c (Å): 7.8213 7.2145 6.6115
angles (deg): 90.00 90.00 90.00
Closest atoms and distances in Å follow each position.
Fractional positions:
Li1 0.2459 0.1711 0.0000  4 Se 2.52-2.60
Li2 0.2541 0.8289 0.5000  4 Se 2.52-2.60
Li3 0.7459 0.8289 0.5000  4 Se 2.52-2.60
Li4 0.7541 0.1711 0.0000  4 Se 2.52-2.60
Zn1 0.0000 0.3562 0.4951  4 Se 2.46-2.54
Zn2 0.5000 0.6438 0.9951  4 Se 2.46-2.54
Si1 0.0000 0.6645 0.9972  4 Se 2.29-2.32
Si2 0.5000 0.3355 0.4972  4 Se 2.29-2.32
Se1 0.0000 0.3681 0.8734  1 Si 2.29, 1 Zn 2.50, 2 Li 2.53
Se2 0.0000 0.6685 0.3454  1 Si 2.30, 1 Zn 2.46, 2 Li 2.52
Se3 0.2383 0.8261 0.8873  1 Si 2.32, 1 Zn 2.54, 1 Li 2.56
Se4 0.2617 0.1739 0.3873  1 Si 2.32, 1 Zn 2.54, 1 Li 2.56
Se5 0.5000 0.3315 0.8454  1 Si 2.30, 1 Zn 2.46, 2 Li 2.52
Se6 0.5000 0.6319 0.3734  1 Si 2.29, 1 Zn 2.50, 2 Li 2.53
Se7 0.7383 0.1739 0.3873  1 Si 2.32, 1 Zn 2.54, 1 Li 2.56
Se8 0.7617 0.8261 0.8873  1 Si 2.32, 1 Zn 2.54, 1 Li 2.56

(5)
LiZn2SiSe4: relaxed, PBE.

Calculated values
The value obtained for the formation energy (no corrections) is -572 meV/atom. For the total energy, the calculation gives -3.5500 eV/atom. The calculation puts the density of states at the Fermi level at 0.480 states/eV per atom.

a b c (Å): 7.0738 7.0738 7.0738
angles (deg): 131.64 131.64 70.80
Closest atoms and distances in Å follow each position.
Fractional positions:
Li1 0.0000 0.0000 0.0000  4 Se 2.54
Zn1 0.2500 0.7500 0.5000  4 Se 2.51
Zn2 0.7500 0.2500 0.5000  4 Se 2.51
Si1 0.5000 0.5000 0.0000  4 Se 2.47
Se1 0.1303 0.1303 0.5103  1 Si 2.47, 2 Zn 2.51, 1 Li 2.54
Se2 0.3800 0.8697 0.0000  1 Si 2.47, 2 Zn 2.51, 1 Li 2.54
Se3 0.6200 0.6200 0.4897  1 Si 2.47, 2 Zn 2.51, 1 Li 2.54
Se4 0.8697 0.3800 0.0000  1 Si 2.47, 2 Zn 2.51, 1 Li 2.54

(6)
Li2ZnSiSe: relaxed, PBE.

Calculated values
The value obtained for the formation energy (no corrections) is 169 meV/atom. For the total energy, the calculation gives -2.6330 eV/atom. The calculation puts the density of states at the Fermi level at 0.644 states/eV per atom.

a b c (Å): 4.9084 4.9084 4.3205
angles (deg): 90.00 90.00 90.00
Closest atoms and distances in Å follow each position.
Fractional positions:
Li1 0.0000 0.5000 0.0000  2 Zn 2.45
Li2 0.5000 0.0000 0.0000  2 Zn 2.45
Zn1 0.0000 0.0000 0.0000  2 Si 2.16
Si1 0.0000 0.0000 0.5000  2 Zn 2.16
Se1 0.5000 0.5000 0.5000  8 Li 3.27, 4 Si 3.47

(7)
LiSmSe: relaxed, PBE.

Calculated values
The value obtained for the formation energy (no corrections) is -1139 meV/atom. For the total energy, the calculation gives -4.5118 eV/atom. The calculation puts the density of states at the Fermi level at 0.112 states/eV per atom. The calculation puts the excess energy over the best structure of this formula in the dataset at 0.000 eV/f.u.

a b c (Å): 4.1617 4.1617 4.0487
angles (deg): 90.00 90.00 120.00
Closest atoms and distances in Å follow each position.
Fractional positions:
Li1 0.0000 0.0000 0.0000  3 Se 2.40
Sm1 0.6667 0.3333 0.5000  6 Li 3.14, 6 Se 3.14
Se1 0.3333 0.6667 0.0000  3 Li 2.40

(8)
LiSmSe: relaxed, PBE.

Calculated values
The value obtained for the formation energy (no corrections) is -1100 meV/atom. For the total energy, the calculation gives -4.4729 eV/atom. The calculation puts the density of states at the Fermi level at 0.619 states/eV per atom. The calculation puts the excess energy over the best structure of this formula in the dataset at 0.117 eV/f.u.

a b c (Å): 5.8598 4.1916 6.4435
angles (deg): 90.00 116.08 90.00
Closest atoms and distances in Å follow each position.
Fractional positions:
Li1 0.1402 0.2500 0.1101  3 Se 2.49-2.57, 2 Li 2.66
Li2 0.8598 0.7500 0.8899  3 Se 2.49-2.57, 2 Li 2.66
Sm1 0.3513 0.2500 0.7000  4 Se 2.92-3.02
Sm2 0.6487 0.7500 0.3000  4 Se 2.92-3.02
Se1 0.1593 0.7500 0.3255  3 Li 2.49-2.57
Se2 0.8407 0.2500 0.6745  3 Li 2.49-2.57